Compound: SmSc4Au5
Source: Alexandria via LeMat-Bulk
Functional: PBE
Structure: optimized geometry

Values from the calculation:
VASP energy ... -5.442 eV/atom
Total magnetic moment ... 0.0 μB per cell
D(E_F) ... 5.43 states/eV/f.u.
SG ... P4/mmm

abc: 3.4366 3.4366 17.4804
angles: 90.00 90.00 90.00
With the nearest neighbours (Å) after each atom.
Atoms (fractional coordinates):
Au: 0.5000 0.5000 0.1195  4 Sc 2.89, 4 Sm 3.20
Au: 0.5000 0.5000 0.3061  8 Sc 2.96, 1 Au 3.26
Au: 0.5000 0.5000 0.6939  8 Sc 2.96, 1 Au 3.26
Au: 0.5000 0.5000 0.5000  8 Sc 2.96
Au: 0.5000 0.5000 0.8805  4 Sc 2.89, 4 Sm 3.20
Sc: 0.0000 0.0000 0.4032  8 Au 2.96
Sc: 0.0000 0.0000 0.5968  8 Au 2.96
Sc: 0.0000 0.0000 0.2091  8 Au 2.89-2.96
Sc: 0.0000 0.0000 0.7909  8 Au 2.89-2.96
Sm: 0.0000 0.0000 0.0000  8 Au 3.20, 4 Sm 3.44

---

Compound: CrHgRh2
Source: Alexandria via LeMat-Bulk
Functional: PBE
Structure: optimized geometry

Values from the calculation:
VASP energy ... -6.045 eV/atom
Total magnetic moment ... 0.0 μB per cell
D(E_F) ... 3.02 states/eV/f.u.
SG ... R-3m

abc: 9.0708 9.0708 9.0708
angles: 17.84 17.84 17.84
With the nearest neighbours (Å) after each atom.
Atoms (fractional coordinates):
Hg: 0.7500 0.7500 0.7500  6 Hg 2.81, 6 Rh 3.00
Cr: 0.2500 0.2500 0.2500  6 Rh 2.53, 6 Cr 2.81
Rh: 0.5108 0.5108 0.5108  3 Cr 2.53, 6 Rh 2.81
Rh: 0.9892 0.9892 0.9892  3 Cr 2.53, 6 Rh 2.81